[1]
## Y4NiIr2 (GGA-PBE)

Data for a relaxed structure of Y4NiIr2.

abc: 4.8226 4.8226 23.6344
angles: 90.00 90.00 120.00
Space group R-3m (No. 166, hexagonal axes)
Unique sites:
Y (0.0000, 0.0000, 0.1242)
Y (0.0000, 0.0000, 0.3745)
Ni (0.0000, 0.0000, 0.5000)
Ir (0.0000, 0.0000, 0.2491)

Output
formation energy: -670 meV per atom

[2]
## Li2ZnRu (GGA-PBE)

Data for a relaxed structure of Li2ZnRu.

abc: 3.637 3.637 4.069
angles: 90.00 90.00 90.00
Space group P4/mmm (No. 123)
Unique sites:
Li (0.000, 0.500, 0.000)
Zn (0.000, 0.000, 0.500)
Ru (0.500, 0.500, 0.500)

Output
formation energy: 0 meV per atom

[3]
## CoRuCl2 (GGA-PBE)

Data for a relaxed structure of CoRuCl2.

abc: 5.406 5.406 10.486
angles: 90.00 90.00 90.00
Space group I-42d (No. 122)
Unique sites:
Co (0.000, 0.000, 0.000)
Ru (0.000, 0.000, 0.500)
Cl (0.227, 0.250, 0.125)

Output
energy relative to the elements, uncorrected: 0.529 eV/atom
E above lowest polymorph: 500 meV/atom